1.
# Mn2ZnBr | the Alexandria database | GGA-PBEsol | relaxed
# Formation energy (no corrections) in eV/f.u.: 2.401
# Total magnetic moment in μB/cell: 6.93
# Space group: I4/mmm (139)
data_Mn2ZnBr
_chemical_formula_sum 'Mn2 Zn1 Br1'
_cell_length_a 4.6504
_cell_length_b 4.6504
_cell_length_c 4.6504
_cell_angle_alpha 127.44
_cell_angle_beta 127.44
_cell_angle_gamma 77.53
_symmetry_space_group_name_H-M 'P 1'
_symmetry_Int_Tables_number 1
loop_
_symmetry_equiv_pos_as_xyz
'x,y,z'
loop_
_atom_site_label
_atom_site_type_symbol
_atom_site_fract_x
_atom_site_fract_y
_atom_site_fract_z
Mn1 Mn 0.2500 0.7500 0.5000
Mn2 Mn 0.7500 0.2500 0.5000
Zn1 Zn 0.0000 0.0000 0.0000
Br1 Br 0.5000 0.5000 0.0000


2.
# Li2BiSb2 | the Alexandria database | GGA-PBEsol | relaxed
# Formation energy (no corrections) in eV/f.u.: -1.595
# Total magnetic moment in μB/cell: 0.00
# Space group: P4/mbm (127)
data_Li2BiSb2
_chemical_formula_sum 'Li4 Bi2 Sb4'
_cell_length_a 8.6429
_cell_length_b 8.6429
_cell_length_c 3.1680
_cell_angle_alpha 90.00
_cell_angle_beta 90.00
_cell_angle_gamma 90.00
_symmetry_space_group_name_H-M 'P 1'
_symmetry_Int_Tables_number 1
loop_
_symmetry_equiv_pos_as_xyz
'x,y,z'
loop_
_atom_site_label
_atom_site_type_symbol
_atom_site_fract_x
_atom_site_fract_y
_atom_site_fract_z
Li1 Li 0.1198 0.3802 0.0000
Li2 Li 0.3802 0.8802 0.0000
Li3 Li 0.6198 0.1198 0.0000
Li4 Li 0.8802 0.6198 0.0000
Bi1 Bi 0.0000 0.0000 0.5000
Bi2 Bi 0.5000 0.5000 0.5000
Sb1 Sb 0.1765 0.6765 0.5000
Sb2 Sb 0.3235 0.1765 0.5000
Sb3 Sb 0.6765 0.8235 0.5000
Sb4 Sb 0.8235 0.3235 0.5000